The following is a DFT calculation (PBE) of crystalline Cd4AsSCl2 at its relaxed geometry.

The structure in CIF format:
```
data_Cd4AsSCl2
_cell_length_a 11.6147
_cell_length_b 11.3399
_cell_length_c 8.1138
_cell_angle_alpha 90.00
_cell_angle_beta 134.18
_cell_angle_gamma 90.00
_symmetry_space_group_name_H-M 'C 1 2/c 1'
_symmetry_Int_Tables_number 15
_symmetry_space_group_name_Hall '-C 2yc'
loop_
_atom_site_label
_atom_site_type_symbol
_atom_site_fract_x
_atom_site_fract_y
_atom_site_fract_z
Cd1 Cd 0.0004 0.2425 0.0304
Cd2 Cd 0.2244 0.0097 0.4737
As1 As 0.2500 0.2500 0.5000
S1 S 0.0000 0.0000 0.0000
Cl1 Cl 0.0000 0.5000 0.0000
Cl2 Cl 0.2500 0.2500 0.0000
```

Output
crystal system = monoclinic
raw formation energy = -0.44 eV per atom
total moment = 0.00 μB per cell
calculated total energy = -2.459 eV per atom
volume = 23.948 Å³ per atom



The following is a DFT calculation (PBE) of crystalline CdSbAsCl2 at its relaxed geometry.

The structure in CIF format:
```
data_CdSbAsCl2
_cell_length_a 4.8668
_cell_length_b 4.8668
_cell_length_c 5.9059
_cell_angle_alpha 90.00
_cell_angle_beta 90.00
_cell_angle_gamma 90.00
_symmetry_space_group_name_H-M 'P 4/m m m'
_symmetry_Int_Tables_number 123
_symmetry_space_group_name_Hall '-P 4 2'
loop_
_atom_site_label
_atom_site_type_symbol
_atom_site_fract_x
_atom_site_fract_y
_atom_site_fract_z
Cd1 Cd 0.0000 0.0000 0.0000
Sb1 Sb 0.5000 0.5000 0.0000
As1 As 0.5000 0.5000 0.5000
Cl1 Cl 0.0000 0.5000 0.5000
```

Output
crystal system = tetragonal
raw formation energy = -0.05 eV per atom
total moment = 0.00 μB per cell
calculated total energy = -2.730 eV per atom
volume = 27.977 Å³ per atom



The following is a DFT calculation (PBE) of crystalline CdAsSe2Cl at its relaxed geometry.

The structure in CIF format:
```
data_CdAsSe2Cl
_cell_length_a 5.2740
_cell_length_b 5.2740
_cell_length_c 4.6667
_cell_angle_alpha 90.00
_cell_angle_beta 90.00
_cell_angle_gamma 90.00
_symmetry_space_group_name_H-M 'P 4/m m m'
_symmetry_Int_Tables_number 123
_symmetry_space_group_name_Hall '-P 4 2'
loop_
_atom_site_label
_atom_site_type_symbol
_atom_site_fract_x
_atom_site_fract_y
_atom_site_fract_z
Cd1 Cd 0.0000 0.0000 0.0000
As1 As 0.5000 0.5000 0.0000
Se1 Se 0.0000 0.5000 0.5000
Cl1 Cl 0.5000 0.5000 0.5000
```

Output
crystal system = tetragonal
energy above the lowest structure with this stoichiometry = 78 meV per atom
raw formation energy = 0.83 eV per atom
total moment = 0.00 μB per cell
calculated total energy = -2.048 eV per atom
volume = 25.961 Å³ per atom



The following is a DFT calculation (PBE) of crystalline CdAs2SeCl at its relaxed geometry.

The structure in CIF format:
```
data_CdAs2SeCl
_cell_length_a 5.2806
_cell_length_b 5.2806
_cell_length_c 5.1287
_cell_angle_alpha 90.00
_cell_angle_beta 90.00
_cell_angle_gamma 90.00
_symmetry_space_group_name_H-M 'P 4/m m m'
_symmetry_Int_Tables_number 123
_symmetry_space_group_name_Hall '-P 4 2'
loop_
_atom_site_label
_atom_site_type_symbol
_atom_site_fract_x
_atom_site_fract_y
_atom_site_fract_z
Cd1 Cd 0.0000 0.0000 0.0000
As1 As 0.0000 0.5000 0.0000
Se1 Se 0.0000 0.0000 0.5000
Cl1 Cl 0.5000 0.5000 0.5000
```

Output
crystal system = tetragonal
energy above the lowest structure with this stoichiometry = 0 meV per atom
raw formation energy = 0.85 eV per atom
total moment = 0.73 μB per cell
calculated total energy = -2.263 eV per atom
volume = 28.603 Å³ per atom



The following is a DFT calculation (PBE) of crystalline CdAs2SeCl at its relaxed geometry.

The structure in CIF format:
```
data_CdAs2SeCl
_cell_length_a 4.8879
_cell_length_b 4.8879
_cell_length_c 5.2623
_cell_angle_alpha 90.00
_cell_angle_beta 90.00
_cell_angle_gamma 90.00
_symmetry_space_group_name_H-M 'P 4/m m m'
_symmetry_Int_Tables_number 123
_symmetry_space_group_name_Hall '-P 4 2'
loop_
_atom_site_label
_atom_site_type_symbol
_atom_site_fract_x
_atom_site_fract_y
_atom_site_fract_z
Cd1 Cd 0.0000 0.0000 0.0000
As1 As 0.0000 0.5000 0.5000
Se1 Se 0.5000 0.5000 0.0000
Cl1 Cl 0.5000 0.5000 0.5000
```

Output
crystal system = tetragonal
energy above the lowest structure with this stoichiometry = 36 meV per atom
raw formation energy = 0.88 eV per atom
total moment = 0.00 μB per cell
calculated total energy = -2.226 eV per atom
volume = 25.145 Å³ per atom



The following is a DFT calculation (PBE) of crystalline CdAsSe2Cl at its relaxed geometry.

The structure in CIF format:
```
data_CdAsSe2Cl
_cell_length_a 5.1418
_cell_length_b 5.1418
_cell_length_c 5.4401
_cell_angle_alpha 90.00
_cell_angle_beta 90.00
_cell_angle_gamma 90.00
_symmetry_space_group_name_H-M 'P 4/m m m'
_symmetry_Int_Tables_number 123
_symmetry_space_group_name_Hall '-P 4 2'
loop_
_atom_site_label
_atom_site_type_symbol
_atom_site_fract_x
_atom_site_fract_y
_atom_site_fract_z
Cd1 Cd 0.0000 0.0000 0.0000
As1 As 0.0000 0.0000 0.5000
Se1 Se 0.0000 0.5000 0.0000
Cl1 Cl 0.5000 0.5000 0.5000
```

Output
crystal system = tetragonal
energy above the lowest structure with this stoichiometry = 0 meV per atom
raw formation energy = 0.75 eV per atom
total moment = 0.00 μB per cell
calculated total energy = -2.126 eV per atom
volume = 28.765 Å³ per atom